A plane-wave DFT calculation with PBE was carried out for an optimized crystal structure of Rb3Pm2RhO6.

Values from the calculation:
V: 205.9 Å³/cell
formation energy (no corrections): -1.962 eV/atom

a = 6.0336 Å, b = 6.0336 Å, c = 6.8271 Å
α = 98.42°, β = 98.42°, γ = 119.95°
Positions (direct):
Rb  0.1618  0.8382  0.5000
Rb  0.8382  0.1618  0.5000
Rb  0.5000  0.5000  0.5000
Pm  0.3330  0.6670  0.0000
Pm  0.6670  0.3330  0.0000
Rh  0.0000  0.0000  0.0000
O  0.9405  0.6289  0.8214
O  0.7472  0.7472  0.1786
O  0.0595  0.3711  0.1786
O  0.6289  0.9405  0.8214
O  0.2528  0.2528  0.8214
O  0.3711  0.0595  0.1786